{"formula": "SrMgTc2", "functional": "PBE-GGA", "state": "optimized geometry", "formation_energy_ev_per_fu": 2.8, "density_g_cm3": 6.7, "final_energy_ev_per_atom": -5.301, "n_ef_per_ev_cell": 12.60, "cell": [[6.7414, 0.0000, 0.0000], [0.0000, 6.7414, 0.0000], [0.0000, 0.0000, 6.7414]], "species": ["Sr", "Sr", "Sr", "Sr", "Mg", "Mg", "Mg", "Mg", "Tc", "Tc", "Tc", "Tc", "Tc", "Tc", "Tc", "Tc"], "frac_coords": [[0.0000, 0.0000, 0.0000], [0.0000, 0.5000, 0.5000], [0.5000, 0.0000, 0.5000], [0.5000, 0.5000, 0.0000], [0.2500, 0.2500, 0.2500], [0.2500, 0.7500, 0.7500], [0.7500, 0.2500, 0.7500], [0.7500, 0.7500, 0.2500], [0.0000, 0.0000, 0.5000], [0.0000, 0.5000, 0.0000], [0.2500, 0.2500, 0.7500], [0.2500, 0.7500, 0.2500], [0.5000, 0.0000, 0.0000], [0.5000, 0.5000, 0.5000], [0.7500, 0.2500, 0.2500], [0.7500, 0.7500, 0.7500]]}